Here is crystalline YTaFe at its relaxed geometry from the Alexandria database. Energies are from GGA-PBE.

Results
Final energy ... -8.961 eV per atom

a b c (Å): 4.331 4.331 6.443
angles (deg): 90.00 90.00 90.00
Space group P4/nmm (No. 129, origin choice 2)
Inequivalent atoms, fractional coordinates:
Y  0.250  0.250  0.137 (multiplicity 2)
Ta  0.250  0.750  0.500 (multiplicity 2)
Fe  0.250  0.250  0.691 (multiplicity 2)

Here is crystalline Ta2ZnFe2 at its relaxed geometry from the Alexandria database. Energies are from GGA-PBE.

Results
Final energy ... -8.376 eV per atom

a b c (Å): 7.017 7.017 2.976
angles (deg): 90.00 90.00 90.00
Space group P4/mbm (No. 127)
Inequivalent atoms, fractional coordinates:
Ta  0.163  0.337  0.000 (multiplicity 4)
Zn  0.000  0.000  0.500 (multiplicity 2)
Fe  0.136  0.636  0.500 (multiplicity 4)

Here is crystalline Ta2ZnFe at its relaxed geometry from the Alexandria database. Energies are from GGA-PBE.

Results
Final energy ... -7.903 eV per atom

a b c (Å): 7.063 7.063 5.323
angles (deg): 90.00 90.00 90.00
Space group I-42d (No. 122)
Inequivalent atoms, fractional coordinates:
Ta  0.203  0.250  0.125 (multiplicity 8)
Zn  0.000  0.000  0.500 (multiplicity 4)
Fe  0.000  0.000  0.000 (multiplicity 4)

Here is crystalline TaZnFe at its relaxed geometry from the Alexandria database. Energies are from GGA-PBE.

Results
Final energy ... -7.318 eV per atom

a b c (Å): 4.8923 4.8923 36.4893
angles (deg): 90.00 90.00 120.00
Space group R-3m (No. 166, hexagonal axes)
Inequivalent atoms, fractional coordinates:
Ta  0.0000  0.0000  0.0455 (multiplicity 6)
Ta  0.0000  0.0000  0.1801 (multiplicity 6)
Ta  0.0000  0.0000  0.2607 (multiplicity 6)
Zn  0.0000  0.0000  0.3906 (multiplicity 6)
Zn  0.0000  0.0000  0.5000 (multiplicity 3)
Zn  0.0000  0.5000  0.0000 (multiplicity 9)
Fe  0.0117  0.5059  0.7786 (multiplicity 18)

Here is crystalline Ta2ZnFe at its relaxed geometry from the Alexandria database. Energies are from GGA-PBE.

Results
Final energy ... -8.287 eV per atom

a b c (Å): 5.682 7.122 3.032
angles (deg): 90.00 90.00 90.00
Space group Cmmm (No. 65)
Inequivalent atoms, fractional coordinates:
Ta  0.250  0.250  0.000 (multiplicity 4)
Zn  0.000  0.000  0.500 (multiplicity 2)
Fe  0.000  0.500  0.500 (multiplicity 2)

Here is crystalline TaZn2Fe at its relaxed geometry from the Alexandria database. Energies are from GGA-PBE.

Results
Final energy ... -5.647 eV per atom

a b c (Å): 2.707 4.218 5.163
angles (deg): 90.00 97.04 90.00
Space group Pm (No. 6)
Inequivalent atoms, fractional coordinates:
Ta  0.000  0.000  0.000 (multiplicity 1)
Zn  0.562  0.000  0.510 (multiplicity 1)
Zn  0.577  0.500  0.251 (multiplicity 1)
Fe  0.224  0.500  0.747 (multiplicity 1)

Here is crystalline TaZnFe2 at its relaxed geometry from the Alexandria database. Energies are from GGA-PBE.

Results
Final energy ... -7.567 eV per atom

a b c (Å): 3.035 3.035 5.682
angles (deg): 90.00 90.00 90.00
Space group P4/mmm (No. 123)
Inequivalent atoms, fractional coordinates:
Ta  0.000  0.000  0.000 (multiplicity 1)
Zn  0.000  0.000  0.500 (multiplicity 1)
Fe  0.500  0.500  0.257 (multiplicity 2)

Here is crystalline Ta2ZnFe at its relaxed geometry from the Alexandria database. Energies are from GGA-PBE.

Results
Final energy ... -8.150 eV per atom

a b c (Å): 2.9021 2.9021 26.3177
angles (deg): 90.00 90.00 120.00
Space group R-3m (No. 166, hexagonal axes)
Inequivalent atoms, fractional coordinates:
Ta  0.0000  0.0000  0.2434 (multiplicity 6)
Zn  0.0000  0.0000  0.0000 (multiplicity 3)
Fe  0.0000  0.0000  0.5000 (multiplicity 3)

Which of these has the lowest final energy?
YTaFe

Which of these has the lowest final energy?
YTaFe

Among the records above, which one has the lowest final energy?
YTaFe